# 1
Hg9Bi4Pb11: optimized geometry, PBE.

```
Hg9Bi4Pb11
1.0
7.660 -10.826 0.000
7.660 10.826 0.000
0.000 0.000 4.347
Hg Bi Pb
9 4 11
Cartesian
0.000 0.000 0.000
5.828 5.743 0.000
5.999 1.941 0.000
9.492 5.743 0.000
5.999 -1.941 0.000
9.321 1.941 0.000
5.828 -5.743 0.000
9.321 -1.941 0.000
9.492 -5.743 0.000
2.420 1.919 0.000
2.420 -1.919 0.000
12.900 1.919 0.000
12.900 -1.919 0.000
4.186 3.750 2.173
7.660 7.714 2.173
4.186 0.000 2.173
7.660 4.105 2.173
4.186 -3.750 2.173
7.660 0.000 2.173
11.134 3.750 2.173
7.660 -4.105 2.173
11.134 0.000 2.173
7.660 -7.714 2.173
11.134 -3.750 2.173
```

The raw total energy comes out at -58.1 eV/cell. The space-group type is Cmmm, No. 65.


# 2
La2CrBr: optimized geometry, PBE.

```
La2CrBr
1.0
2.026 1.170 8.464
-2.026 1.170 8.464
0.000 -2.340 8.464
La Cr Br
2 1 1
Cartesian
0.000 0.000 6.125
0.000 0.000 19.268
0.000 0.000 12.697
0.000 0.000 0.000
```

Its raw formation energy is -1.3 eV/f.u. For the polymorph energy (0 for the lowest one), the calculation gives 0.35 kcal/mol of atoms. The space-group type is R-3m, No. 166.


# 3
LiP2Os: optimized geometry, PBE.

```
LiP2Os
1.0
3.128 0.000 0.000
0.000 3.128 0.000
0.000 0.000 5.299
Li P Os
1 2 1
Cartesian
0.000 0.000 0.000
0.000 0.000 2.687
1.564 1.564 4.389
1.564 1.564 1.628
```

For the polymorph energy (0 for the lowest one), the calculation gives 6.89 kcal/mol of atoms. The space-group type is P4mm, No. 99.


no.,ρ (g/cm³)
1,11.33
2,5.65
3,8.30